The following is a DFT calculation (PBE) of a geometry-optimized Li2ZnIn structure.

The space group is Immm (No. 71) and the conventional cell measures 3.286, 4.775 and 10.715 Å, with angles of 90.00, 90.00 and 90.00 degrees. The inequivalent atoms are Li at (0.000, 0.000, 0.238), Zn at (0.000, 0.000, 0.000) and In at (0.000, 0.000, 0.500).

The calculation puts the formation energy at 0.08 eV per atom. The calculation puts the density of states at the Fermi level at 1.15 states/eV/f.u. The value obtained for the mass density is 3.83 g/cm³.